Here is Ca2Pd2Pt after structural relaxation from the Alexandria database. Energies are from PBE.

Structure (POSCAR):
```
Ca2Pd2Pt
1.0
4.7926 -2.8088 0.0000
4.7926 2.8088 0.0000
-2.2389 0.0000 7.7928
Ca Pd Pt
4 4 2
Direct
0.0153 0.2876 0.1514 Ca
0.2876 0.0153 0.6514 Ca
0.7124 0.9847 0.3486 Ca
0.9847 0.7124 0.8486 Ca
0.2473 0.4989 0.5039 Pd
0.4989 0.2473 0.0039 Pd
0.5011 0.7527 0.9961 Pd
0.7527 0.5011 0.4961 Pd
0.2992 0.7008 0.2500 Pt
0.7008 0.2992 0.7500 Pt
```

Properties
Total moment   0.00 μB/cell
Volume   210 Å³/cell
N(E_F)   3.5 states/eV per cell
Energy relative to the lowest polymorph listed for this composition   21.6 meV/atom
Energy relative to the elements   -3.66 eV/f.u.